Entry 1:
KP2Cl: optimized geometry, PBE.

POSCAR file:
```
KP2Cl
1.0
6.973 0.000 0.000
0.000 6.973 0.000
0.000 0.000 5.787
K P Cl
1 2 1
direct
0.000 0.000 0.000 K
0.500 0.500 0.336 P
0.500 0.500 0.664 P
0.000 0.000 0.500 Cl
```

Properties
Energy   -3.7498 eV per atom
Size of the total moment   0.034 μB per atom
Density of states at the Fermi level   0.000 states/eV/cell
Raw formation energy   -0.31 eV/atom
SG   P4/mmm
Energy above the lowest structure with this stoichiometry   270.9 meV per atom

Entry 2:
KPCl2: optimized geometry, PBE.

POSCAR file:
```
KPCl2
1.0
4.539 -1.821 0.000
4.539 1.821 0.000
-2.502 0.000 7.976
K P Cl
1 1 2
direct
0.000 0.000 0.000 K
0.500 0.500 0.500 P
0.353 0.353 0.214 Cl
0.647 0.647 0.786 Cl
```

Properties
Energy   -3.1373 eV per atom
Size of the total moment   0.310 μB per atom
Density of states at the Fermi level   0.618 states/eV/cell
Raw formation energy   -0.59 eV/atom
SG   C2/m
Energy above the lowest structure with this stoichiometry   54.6 meV per atom

Entry 3:
KPCl4: optimized geometry, PBE.

POSCAR file:
```
KPCl4
1.0
0.000 4.340 4.340
4.340 0.000 4.340
4.340 4.340 0.000
K P Cl
1 1 4
direct
0.000 0.000 0.000 K
0.750 0.750 0.750 P
0.376 0.376 0.376 Cl
0.376 0.376 0.873 Cl
0.376 0.873 0.376 Cl
0.873 0.376 0.376 Cl
```

Properties
Energy   -2.0234 eV per atom
Size of the total moment   0.705 μB per atom
Density of states at the Fermi level   8.441 states/eV/cell
Raw formation energy   0.29 eV/atom
SG   F-43m
Energy above the lowest structure with this stoichiometry   1183.8 meV per atom

Entry 4:
K2PCl: optimized geometry, PBE.

POSCAR file:
```
K2PCl
1.0
-4.204 4.204 4.437
4.204 -4.204 4.437
4.204 4.204 -4.437
K P Cl
4 2 2
direct
0.099 0.625 0.974 K
0.375 0.349 0.474 K
0.651 0.125 0.026 K
0.875 0.901 0.526 K
0.250 0.750 0.500 P
0.500 0.500 0.000 P
0.000 0.000 0.000 Cl
0.750 0.250 0.500 Cl
```

Properties
Energy   -2.9267 eV per atom
Size of the total moment   0.500 μB per atom
Density of states at the Fermi level   0.499 states/eV/cell
Raw formation energy   -0.56 eV/atom
SG   I-42d
Energy above the lowest structure with this stoichiometry   175.1 meV per atom